Record 1
A relaxed structure of Er5S5N, computed with GGA-PBE.

The structure in extended XYZ format:
```
11
Lattice="5.3768 0.0000 0.0000 -2.6884 5.6705 -1.9652 0.0000 0.0505 7.5192" Properties=species:S:1:pos:R:3 pbc="T T T"
Er 2.6884 3.9795 -0.1896
Er 2.6884 3.9566 3.8106
Er 2.6884 0.0000 0.0000
Er 0.0000 1.7644 1.7435
Er 0.0000 1.7414 5.7436
S 2.6884 1.9860 1.8169
S 2.6884 1.9313 5.6011
S 0.0000 0.0253 3.7596
S 0.0000 3.7897 -0.0470
S 0.0000 3.7350 3.7372
N 0.0000 0.0000 0.0000
```


Record 2
A relaxed structure of Er7S5N, computed with GGA-PBE.

The structure in extended XYZ format:
```
26
Lattice="-3.5267 0.1000 0.8980 0.9902 -6.0571 -2.8515 5.1370 -9.1362 21.1911" Properties=species:S:1:pos:R:3 pbc="T T T"
Er 0.5093 -8.2502 2.9125
Er 2.0898 -6.8496 16.3204
Er -1.8056 -1.9798 0.5040
Er 4.4046 -13.1243 18.7287
Er 2.1952 -9.1893 9.6142
Er 0.4051 -5.9062 9.6233
Er 0.6367 -3.9839 2.9564
Er 1.9625 -11.1200 16.2776
Er 1.2752 -9.8932 13.4417
Er 1.3251 -5.2042 5.7954
Er -1.8562 -5.9379 0.7372
Er 4.4548 -9.1658 18.4942
Er 2.9966 -6.5671 12.4786
Er -0.3963 -8.5289 6.7587
S 5.1361 -9.1416 21.1879
S 2.6595 -11.1000 19.0336
S -0.0604 -4.0041 0.1996
S 0.0067 -3.9485 7.8607
S 2.5934 -11.1474 11.3758
S 2.5685 -4.5691 10.5954
S 1.7643 -7.2442 7.7262
S 0.8361 -7.8517 11.5114
S 3.7501 -13.2096 16.1475
S -1.1511 -1.8942 3.0852
N -0.7585 -4.3435 4.9056
N 3.3583 -10.7573 14.3302
```


Record 3
A relaxed structure of Er6S5N, computed with GGA-PBE.

The structure in extended XYZ format:
```
12
Lattice="6.4734 -0.6342 -1.1543 -4.2419 6.0676 -1.7734 0.0172 -0.4341 6.5635" Properties=species:S:1:pos:R:3 pbc="T T T"
S -1.3782 4.5302 2.4564
S 1.4932 3.4772 0.2352
S -2.1210 3.0338 -0.8867
S 0.7555 1.5221 3.4006
S 3.6269 0.4691 1.1793
N 0.0000 0.0000 0.0000
Er -0.6031 2.0804 1.1513
Er -2.9460 5.3829 0.1936
Er 2.0018 1.1117 -0.9423
Er 0.2297 4.3217 -1.9854
Er 5.1948 -0.3837 3.4422
Er 2.8518 2.9188 2.4845
```


Record 4
A relaxed structure of Er5SN4, computed with GGA-PBE.

The structure in extended XYZ format:
```
10
Lattice="-2.8896 1.5866 1.3062 -0.7956 -2.9416 1.8131 8.4471 4.8058 8.0362" Properties=species:S:1:pos:R:3 pbc="T T T"
Er 1.4355 0.8973 2.0857
Er -1.8426 -0.6775 1.5597
Er 3.3264 2.5535 9.0698
Er 3.9375 2.4612 5.7209
Er 0.8244 0.9896 5.4346
S 0.0000 0.0000 0.0000
N 5.2316 3.2701 7.6010
N 2.0956 1.7841 7.2815
N 2.6664 1.6667 3.8740
N -0.4696 0.1807 3.5545
```


Record 5
A relaxed structure of Er3S2N, computed with GGA-PBE.

The structure in extended XYZ format:
```
12
Lattice="-2.7502 -2.2461 -0.6524 2.5167 0.5544 -2.5284 10.4792 -14.9105 7.1612" Properties=species:S:1:pos:R:3 pbc="T T T"
Er 0.0000 0.0000 0.0000
Er 2.6012 -2.9973 -0.6456
Er 4.1606 -5.2162 0.4200
Er 5.2396 -7.4553 3.5806
Er 6.0851 -11.3861 3.5603
Er 7.6445 -13.6049 4.6260
S 10.3193 -13.9793 4.6288
S -0.0736 -2.6230 -0.6484
S 3.3241 -7.4575 1.6735
S 6.9216 -9.1447 2.3068
N 2.6198 -3.7276 1.7903
N 7.8594 -11.1829 5.3709
```


Record 6
A relaxed structure of Er2SN, computed with GGA-PBE.

The structure in extended XYZ format:
```
8
Lattice="-3.5206 -0.5430 1.3833 1.3971 -5.2781 1.4843 2.4573 2.7086 7.3173" Properties=species:S:1:pos:R:3 pbc="T T T"
Er -1.0661 -3.3099 3.3878
Er 0.1465 -1.1783 7.3103
Er 0.4755 0.9247 3.6948
Er -0.4435 -0.8834 0.6463
S 2.3765 -2.6087 7.1460
S -0.8448 -1.0815 4.8254
N 1.0405 -4.1296 3.1493
N -1.9465 -2.3441 1.5261
```

Excess energy over the best structure of this formula in the dataset in eV/f.u.: 1.304


Record 7
A relaxed structure of Er4S3N2, computed with GGA-PBE.

The structure in extended XYZ format:
```
9
Lattice="3.6789 0.0000 0.9049 1.7558 6.3912 0.7926 -0.0007 -0.0497 7.9333" Properties=species:S:1:pos:R:3 pbc="T T T"
Er 3.0215 0.7921 3.5771
Er 2.4124 5.5494 6.0537
Er 2.0849 1.7006 7.3850
Er 3.3490 4.6409 2.2458
S 0.0000 0.0000 0.0000
S 1.4052 2.7764 2.2176
S 4.0287 3.5652 7.4132
N 2.4985 0.4518 5.7033
N 2.9354 5.8898 3.9275
```


Record 8
A relaxed structure of Er8Se4S3N, computed with GGA-PBE.

The structure in extended XYZ format:
```
16
Lattice="7.7499 0.0000 0.0000 0.0000 7.8860 0.0902 -3.8749 -3.8708 5.4828" Properties=species:S:1:pos:R:3 pbc="T T T"
Er -2.0945 1.7842 5.4781
Er 0.0000 3.8764 2.5152
Er 0.0000 0.1696 2.8581
Er 2.0945 1.7842 5.4781
Er 1.7804 2.2311 0.0948
Er 3.8749 3.8456 2.7149
Er 3.8749 0.1388 3.0577
Er 5.9695 2.2311 0.0948
Se 3.8749 0.0000 0.0000
Se 1.9375 -1.9354 2.7414
Se 0.0000 0.0000 0.0000
Se -1.9375 -1.9354 2.7414
S 3.8749 3.9430 0.0451
S 1.9375 2.0076 2.7865
S -1.9375 2.0076 2.7865
N 0.0000 3.9430 0.0451
```


Record 9
A relaxed structure of Er8Se3S3N, computed with GGA-PBE.

The structure in extended XYZ format:
```
15
Lattice="-0.9328 -6.6066 -3.8906 4.0611 0.0724 6.5707 -7.7968 0.9417 0.2691" Properties=species:S:1:pos:R:3 pbc="T T T"
Er -0.2896 -1.4109 2.4652
Er -4.3789 -4.1816 0.4840
Er -0.7203 -4.8263 0.7022
Er -3.9482 -0.7662 2.2470
Er -2.9327 -4.8662 -2.8769
Er -1.7358 -0.7263 5.8261
Er -2.4245 -1.2670 -0.7572
Er -2.2440 -4.3255 3.7064
Se 0.0000 0.0000 0.0000
Se 2.0305 0.0362 3.2853
Se 1.5641 -3.2671 1.3400
S -4.3648 -2.8324 -1.8107
S -2.3343 -2.7963 1.4746
S -1.8679 0.5070 3.4199
N -3.8984 0.4709 0.1345
```


Record 10
A relaxed structure of Er8Se3S4N, computed with GGA-PBE.

The structure in extended XYZ format:
```
16
Lattice="7.8218 0.0000 0.0000 0.0000 7.7458 -0.0596 -3.9109 -3.9066 5.5339" Properties=species:S:1:pos:R:3 pbc="T T T"
Er 1.7232 5.6660 0.0182
Er 0.0000 3.9447 2.4567
Er 0.0000 -0.1340 2.6692
Er 6.0986 5.6660 0.0182
Er -2.1877 -1.8268 5.4560
Er 3.9109 3.9732 2.8050
Er 3.9109 -0.1055 3.0176
Er 2.1877 -1.8268 5.4560
Se 3.9109 3.8729 -0.0298
Se 1.9554 1.9196 2.7371
Se -1.9554 1.9196 2.7371
S 3.9109 0.0000 0.0000
S 1.9554 -1.9533 2.7669
S 0.0000 0.0000 0.0000
S -1.9554 -1.9533 2.7669
N 0.0000 3.8729 -0.0298
```


Record 11
A relaxed structure of SmErSN, computed with GGA-PBE.

The structure in extended XYZ format:
```
4
Lattice="3.6438 0.0000 0.0000 1.8219 3.1556 0.0000 1.8219 1.0519 6.3533" Properties=species:S:1:pos:R:3 pbc="T T T"
Sm 1.8219 1.0519 1.3421
Er 5.4657 3.1556 5.0352
S 3.6438 2.1038 3.2542
N 1.8219 1.0519 6.2518
```


Record 12
A relaxed structure of TbErSN, computed with GGA-PBE.

The structure in extended XYZ format:
```
4
Lattice="-1.2473 -0.2080 -3.3804 -3.0584 -1.7884 -0.6882 -4.7095 4.5935 -0.4716" Properties=species:S:1:pos:R:3 pbc="T T T"
Tb -2.1214 0.4367 -1.1708
Er -6.8996 2.1698 -3.3678
S -4.5251 1.3267 -2.2653
N -4.6862 4.5560 -0.4779
```


| no. | magnetic moment (μB/atom) | ΔE_f (raw) (meV/atom) |
| --- | --- | --- |
| 1 | 0.000 | -1959 |
| 2 | 0.000 | -1626 |
| 3 | 0.000 | -1905 |
| 4 | 0.000 | -1717 |
| 5 | 0.000 | -1688 |
| 6 | 0.136 | -1550 |
| 7 | 0.000 | -1969 |
| 8 | 0.000 | -1795 |
| 9 | 0.000 | -1656 |
| 10 | 0.000 | -1796 |
| 11 | 0.000 | -1826 |
| 12 | 0.000 | -1864 |